[1]
Here is Sb8Te after structural relaxation from the Alexandria database. Energies are from GGA-PBE.

Cell lengths 9.6406, 9.6406, 5.5086 Å; angles 90.00, 90.00, 90.00 degrees
Last column: nearest neighbours and their distance in Å.
Space group I4/mmm (No. 139)
Symmetry-distinct sites (fractional):
Sb (0.0000, 0.3289, 0.0000) [8 per cell]  3 Sb 3.07-3.30, 1 Te 3.17
Sb (0.1813, 0.1813, 0.5000) [8 per cell]  4 Sb 3.07-3.33
Te (0.0000, 0.0000, 0.0000) [2 per cell]  4 Sb 3.17

Results
DFT total energy	-33.4	eV per formula unit
density of states at the Fermi level	0.672	states/eV/atom
mass density	7.146	g/cm³
crystal system	tetragonal
total moment	0.00	μB per cell

=====

[2]
Here is Th2BiPt after structural relaxation from the Alexandria database. Energies are from GGA-PBE.

Cell lengths 6.4655, 4.2883, 8.7599 Å; angles 90.00, 108.96, 90.00 degrees
Last column: nearest neighbours and their distance in Å.
Space group P2_1/m (No. 11)
Symmetry-distinct sites (fractional):
Th (0.1702, 0.2500, 0.4065) [2 per cell]  2 Pt 3.01, 3 Bi 3.31
Th (0.2588, 0.7500, 0.0543) [2 per cell]  3 Pt 2.98-2.99
Bi (0.3863, 0.7500, 0.7035) [2 per cell]  2 Pt 3.13, 7 Th 3.31-3.43
Pt (0.1045, 0.2500, 0.8054) [2 per cell]  5 Th 2.98-3.01, 2 Bi 3.13

Results
formation energy	-19.04	kcal/mol of atoms
energy above the most stable polymorph in this dataset	51	meV/atom
DFT total energy	-28.1	eV per formula unit
density of states at the Fermi level	1.009	states/eV/atom
mass density	12.552	g/cm³
crystal system	monoclinic
total moment	0.00	μB per cell

=====

[3]
Here is Cs2RbPBr6 after structural relaxation from the Alexandria database. Energies are from GGA-PBE.

Cell lengths 8.1945, 8.4009, 14.2354 Å; angles 90.00, 124.55, 90.00 degrees
Last column: nearest neighbours and their distance in Å.
Space group P2_1/c (No. 14)
Symmetry-distinct sites (fractional):
Cs (0.2342, 0.0526, 0.2481) [4 per cell]  8 Br 3.69-4.11
Rb (0.5000, 0.0000, 0.0000) [2 per cell]  6 Br 3.37-3.40
P (0.0000, 0.0000, 0.5000) [2 per cell]  6 Br 2.60-2.61
Br (0.1365, 0.2443, 0.9627) [4 per cell]  1 P 2.61
Br (0.2230, 0.6769, 0.9658) [4 per cell]  1 P 2.61
Br (0.2834, 0.0138, 0.7161) [4 per cell]  1 P 2.60

Results
energy above the most stable polymorph in this dataset	0	meV/atom
DFT total energy	-29.8	eV per formula unit
density of states at the Fermi level	0.000	states/eV/atom
mass density	3.546	g/cm³
crystal system	monoclinic
total moment	0.00	μB per cell

=====

[4]
Here is ScMn2GaPd after structural relaxation from the Alexandria database. Energies are from GGA-PBE.

Cell lengths 4.7376, 4.7376, 4.7166 Å; angles 90.00, 90.00, 90.00 degrees
Last column: nearest neighbours and their distance in Å.
Space group P4/mmm (No. 123)
Symmetry-distinct sites (fractional):
Sc (0.0000, 0.0000, 0.0000) [1 per cell]  2 Pd 2.36, 4 Mn 2.37
Mn (0.0000, 0.5000, 0.0000) [2 per cell]  2 Sc 2.37
Ga (0.5000, 0.5000, 0.5000) [1 per cell]  8 Mn 3.34, 4 Pd 3.35
Pd (0.0000, 0.0000, 0.5000) [1 per cell]  2 Sc 2.36

Results
formation energy	23.22	kcal/mol of atoms
DFT total energy	-27.9	eV per formula unit
density of states at the Fermi level	0.799	states/eV/atom
mass density	5.191	g/cm³
crystal system	tetragonal
total moment	6.67	μB per cell

=====

[5]
Here is CsRb2AgS2 after structural relaxation from the Alexandria database. Energies are from GGA-PBE.

Cell lengths 8.2865, 8.9760, 5.9081 Å; angles 90.00, 90.00, 90.00 degrees
Last column: nearest neighbours and their distance in Å.
Space group Pnnm (No. 58)
Symmetry-distinct sites (fractional):
Cs (0.0000, 0.0000, 0.0000) [2 per cell]  6 S 3.74-4.02, 6 Rb 3.85-3.87
Rb (0.1167, 0.2529, 0.5000) [4 per cell]  4 S 3.24-3.50
Ag (0.0000, 0.5000, 0.0000) [2 per cell]  2 S 2.36
S (0.2460, 0.8816, 0.5000) [4 per cell]  1 Ag 2.36

Results
DFT total energy	-19.1	eV per formula unit
density of states at the Fermi level	0.000	states/eV/atom
mass density	3.596	g/cm³
crystal system	orthorhombic
total moment	0.00	μB per cell

=====

[6]
Here is AgBrO after structural relaxation from the Alexandria database. Energies are from GGA-PBE.

Cell lengths 3.9843, 4.2428, 8.0665 Å; angles 77.10, 83.52, 88.34 degrees
Last column: nearest neighbours and their distance in Å.
Space group P1 (No. 1)
Symmetry-distinct sites (fractional):
Ag (0.0000, 0.0000, 0.0000) [1 per cell]  1 O 2.37
Ag (0.3741, 0.5917, 0.7921) [1 per cell]  2 O 2.26-2.46
Br (0.4010, 0.4184, 0.1217) [1 per cell]  2 Ag 2.61-2.82
Br (0.9736, 0.1659, 0.5458) [1 per cell]  2 O 1.76-1.80
O (0.1249, 0.7701, 0.5501) [1 per cell]  1 Br 1.76
O (0.7203, 0.1206, 0.7488) [1 per cell]  1 Br 1.80

Results
DFT total energy	-9.4	eV per formula unit
mass density	5.124	g/cm³
crystal system	triclinic
total moment	0.00	μB per cell

=====

[7]
Here is CaSc2Rh3 after structural relaxation from the Alexandria database. Energies are from GGA-PBE.

Cell lengths 3.2444, 3.2444, 10.1864 Å; angles 90.00, 90.00, 90.00 degrees
Last column: nearest neighbours and their distance in Å.
Space group P4/mmm (No. 123)
Symmetry-distinct sites (fractional):
Ca (0.0000, 0.0000, 0.0000) [1 per cell]  8 Rh 3.02, 4 Ca 3.24
Sc (0.0000, 0.0000, 0.3386) [2 per cell]  8 Rh 2.73-2.82
Rh (0.5000, 0.5000, 0.1928) [2 per cell]  4 Sc 2.73, 4 Ca 3.02
Rh (0.5000, 0.5000, 0.5000) [1 per cell]  8 Sc 2.82, 2 Rh 3.13

Results
formation energy	-18.97	kcal/mol of atoms
DFT total energy	-41.7	eV per formula unit
density of states at the Fermi level	0.438	states/eV/atom
mass density	6.794	g/cm³
crystal system	tetragonal
total moment	0.00	μB per cell

=====

[8]
Here is BaAsIrBr2 after structural relaxation from the Alexandria database. Energies are from GGA-PBE.

Cell lengths 5.4503, 5.4503, 4.7249 Å; angles 90.00, 90.00, 90.00 degrees
Last column: nearest neighbours and their distance in Å.
Space group P4/mmm (No. 123)
Symmetry-distinct sites (fractional):
Ba (0.0000, 0.0000, 0.0000) [1 per cell]  8 Br 3.61, 4 As 3.85
As (0.5000, 0.5000, 0.0000) [1 per cell]  2 Ir 2.36
Ir (0.5000, 0.5000, 0.5000) [1 per cell]  2 As 2.36
Br (0.0000, 0.5000, 0.5000) [2 per cell]  2 Ir 2.73

Results
energy above the most stable polymorph in this dataset	0	meV/atom
DFT total energy	-21.8	eV per formula unit
density of states at the Fermi level	0.687	states/eV/atom
mass density	6.676	g/cm³
crystal system	tetragonal
total moment	0.00	μB per cell